Version 1
VASP calculation (GGA-PBE) on a relaxed Zn3NO crystal.

Properties
The spin magnetization comes out at 0.0 μB/cell. The density of states at the Fermi level is 1.6 states/eV/cell.

Unit cell a=4.0332 b=4.0332 c=4.0332 alpha=90.00 beta=90.00 gamma=90.00
Closest atoms and distances in Å follow each position.
Fractional positions:
Zn 0.0000 0.5000 0.0000  2 N 2.02
Zn 0.0000 0.0000 0.5000  2 N 2.02
Zn 0.5000 0.0000 0.0000  2 N 2.02
O 0.5000 0.5000 0.5000  12 Zn 2.85
N 0.0000 0.0000 0.0000  6 Zn 2.02

---

Version 2
VASP calculation (GGA-PBE) on a relaxed Zn3NO crystal.

Properties
The spin magnetization comes out at 0.0 μB/cell. The density of states at the Fermi level is 0.4 states/eV/cell.

Unit cell a=3.4634 b=6.1357 c=6.8419 alpha=109.16 beta=90.00 gamma=90.00
Closest atoms and distances in Å follow each position.
Fractional positions:
Zn 0.2500 0.1521 0.9849  1 N 1.99, 1 O 2.13
Zn 0.7500 0.8479 0.0151  1 N 1.99, 1 O 2.13
Zn 0.2500 0.0190 0.3508  3 N 2.02-2.23, 1 O 2.19
Zn 0.7500 0.9810 0.6492  3 N 2.02-2.23, 1 O 2.19
Zn 0.2500 0.4676 0.6716  1 N 1.94, 2 O 2.02
Zn 0.7500 0.5324 0.3284  1 N 1.94, 2 O 2.02
N 0.2500 0.1609 0.6963  4 Zn 1.94-2.02
N 0.7500 0.8391 0.3037  4 Zn 1.94-2.02
O 0.2500 0.3546 0.3034  4 Zn 2.02-2.19
O 0.7500 0.6454 0.6966  4 Zn 2.02-2.19

---

The least stable of them is version 1.

---

Version 1
VASP calculation (GGA-PBE) on a relaxed OsN2 crystal.

Properties
The spin magnetization comes out at 0.0 μB/cell. The density of states at the Fermi level is 0.8 states/eV/cell.

Unit cell a=2.8356 b=2.8356 c=4.9560 alpha=90.00 beta=90.00 gamma=120.00
Closest atoms and distances in Å follow each position.
Fractional positions:
Os 0.0000 0.0000 0.0000  2 N 1.90
N 0.0000 0.0000 0.3836  1 N 1.15
N 0.0000 0.0000 0.6164  1 N 1.15

---

Version 2
VASP calculation (GGA-PBE) on a relaxed OsN2 crystal.

Properties
The spin magnetization comes out at 4.4 μB/cell. The density of states at the Fermi level is 9.5 states/eV/cell.

Unit cell a=4.8758 b=4.8758 c=4.8758 alpha=90.00 beta=90.00 gamma=90.00
Closest atoms and distances in Å follow each position.
Fractional positions:
Os 0.5000 0.5000 0.0000  6 N 2.11
Os 0.5000 0.0000 0.5000  6 N 2.11
Os 0.0000 0.5000 0.5000  6 N 2.11
Os 0.0000 0.0000 0.0000  6 N 2.11
N 0.0839 0.9161 0.4161  1 N 1.42
N 0.9161 0.4161 0.0839  1 N 1.42
N 0.4161 0.0839 0.9161  1 N 1.42
N 0.5839 0.5839 0.5839  1 N 1.42
N 0.9161 0.0839 0.5839  1 N 1.42
N 0.0839 0.5839 0.9161  1 N 1.42
N 0.5839 0.9161 0.0839  1 N 1.42
N 0.4161 0.4161 0.4161  1 N 1.42

---

Version 3
VASP calculation (GGA-PBE) on a relaxed OsN2 crystal.

Properties
The spin magnetization comes out at 0.0 μB/cell. The density of states at the Fermi level is 2.1 states/eV/cell.

Unit cell a=2.7062 b=4.1426 c=4.9519 alpha=90.00 beta=90.00 gamma=90.00
Closest atoms and distances in Å follow each position.
Fractional positions:
Os 0.5000 0.5000 0.5000  6 N 2.07-2.11
Os 0.0000 0.0000 0.0000  6 N 2.07-2.11
N 0.5000 0.3734 0.9040  1 N 1.42
N 0.5000 0.6266 0.0960  1 N 1.42
N 0.0000 0.1266 0.4040  1 N 1.42
N 0.0000 0.8734 0.5960  1 N 1.42

---

The least stable of them is version 2.

---

Version 1
VASP calculation (GGA-PBE) on a relaxed OsN2 crystal.

Properties
The spin magnetization comes out at 0.0 μB/cell. The density of states at the Fermi level is 1.4 states/eV/cell.

Unit cell a=3.4463 b=3.4463 c=3.4463 alpha=60.00 beta=60.00 gamma=60.00
Closest atoms and distances in Å follow each position.
Fractional positions:
Os 0.0000 0.0000 0.0000  8 N 2.11
N 0.7500 0.7500 0.7500  4 Os 2.11
N 0.2500 0.2500 0.2500  4 Os 2.11

---

Version 2
VASP calculation (GGA-PBE) on a relaxed OsN2 crystal.

Properties
The spin magnetization comes out at 0.0 μB/cell. The density of states at the Fermi level is 3.2 states/eV/cell.

Unit cell a=4.4185 b=4.4185 c=2.6786 alpha=90.00 beta=90.00 gamma=90.00
Closest atoms and distances in Å follow each position.
Fractional positions:
Os 0.5000 0.5000 0.0000  8 N 2.23
Os 0.0000 0.0000 0.0000  8 N 2.23
N 0.3881 0.8881 0.5000  1 N 1.40
N 0.6119 0.1119 0.5000  1 N 1.40
N 0.1119 0.3881 0.5000  1 N 1.40
N 0.8881 0.6119 0.5000  1 N 1.40

---

The least stable of them is version 2.

---

Version 1
VASP calculation (GGA-PBE) on a relaxed OsN2 crystal.

Properties
The spin magnetization comes out at 0.0 μB/cell. The density of states at the Fermi level is 4.8 states/eV/cell.

Unit cell a=3.0365 b=3.0365 c=7.4293 alpha=90.00 beta=90.00 gamma=120.00
Closest atoms and distances in Å follow each position.
Fractional positions:
Os 0.6667 0.3333 0.2500  6 N 2.13
Os 0.3333 0.6667 0.7500  6 N 2.13
N 0.0000 0.0000 0.4119  1 N 1.31
N 0.0000 0.0000 0.5881  1 N 1.31
N 0.0000 0.0000 0.9119  1 N 1.31
N 0.0000 0.0000 0.0881  1 N 1.31

---

Version 2
VASP calculation (GGA-PBE) on a relaxed OsN2 crystal.

Properties
The spin magnetization comes out at 0.0 μB/cell. The density of states at the Fermi level is 4.8 states/eV/cell.

Unit cell a=4.9281 b=4.9436 c=4.9757 alpha=67.43 beta=90.00 gamma=90.00
Closest atoms and distances in Å follow each position.
Fractional positions:
Os 0.4978 0.7670 0.7223  6 N 2.06-2.17
Os 0.5022 0.2330 0.2777  6 N 2.06-2.17
Os 0.9978 0.2330 0.7777  6 N 2.06-2.17
Os 0.0022 0.7670 0.2223  6 N 2.06-2.17
N 0.4017 0.1931 0.6936  1 N 1.42
N 0.0983 0.1931 0.1936  1 N 1.42
N 0.0911 0.6778 0.6748  1 N 1.42
N 0.4089 0.6778 0.1748  1 N 1.42
N 0.9089 0.3222 0.3252  1 N 1.42
N 0.5911 0.3222 0.8252  1 N 1.42
N 0.9017 0.8069 0.8064  1 N 1.42
N 0.5983 0.8069 0.3064  1 N 1.42

---

Version 3
VASP calculation (GGA-PBE) on a relaxed OsN2 crystal.

Properties
The spin magnetization comes out at 0.0 μB/cell. The density of states at the Fermi level is 1.1 states/eV/cell.

Unit cell a=3.2154 b=3.2154 c=3.6740 alpha=90.00 beta=90.00 gamma=129.33
Closest atoms and distances in Å follow each position.
Fractional positions:
Os 0.3142 0.6858 0.5000  6 N 2.11-2.12
N 0.0095 0.9905 0.8136  1 N 1.37
N 0.0095 0.9905 0.1864  1 N 1.37

---

The least stable of them is version 1.

---

Version 1
VASP calculation (GGA-PBE) on a relaxed OsN crystal.

Properties
The spin magnetization comes out at 0.0 μB/cell. The density of states at the Fermi level is 1.8 states/eV/cell.

Unit cell a=3.2518 b=3.2518 c=3.2518 alpha=60.00 beta=60.00 gamma=60.00
Closest atoms and distances in Å follow each position.
Fractional positions:
Os 0.0000 0.0000 0.0000  4 N 1.99
N 0.2500 0.2500 0.2500  4 Os 1.99

---

Version 2
VASP calculation (GGA-PBE) on a relaxed OsN crystal.

Properties
The spin magnetization comes out at 0.0 μB/cell. The density of states at the Fermi level is 2.6 states/eV/cell.

Unit cell a=2.7518 b=2.7428 c=6.6503 alpha=90.00 beta=90.00 gamma=90.00
Closest atoms and distances in Å follow each position.
Fractional positions:
Os 0.5000 0.0000 0.7985  3 N 1.94-1.95
Os 0.5000 0.5000 0.2985  3 N 1.94-1.95
N 0.5000 0.0000 0.0918  3 Os 1.94-1.95
N 0.5000 0.5000 0.5918  3 Os 1.94-1.95

---

The least stable of them is version 2.

---

Version 1
VASP calculation (GGA-PBE) on a relaxed P3OsN crystal.

Properties
The spin magnetization comes out at 0.0 μB/cell. The density of states at the Fermi level is 4.3 states/eV/cell.

Unit cell a=4.5315 b=4.5315 c=4.5315 alpha=90.00 beta=90.00 gamma=90.00
Closest atoms and distances in Å follow each position.
Fractional positions:
P 0.0000 0.5000 0.0000  2 Os 2.27
P 0.0000 0.0000 0.5000  2 Os 2.27
P 0.5000 0.0000 0.0000  2 Os 2.27
Os 0.0000 0.0000 0.0000  6 P 2.27
N 0.5000 0.5000 0.5000  12 P 3.20

---

Version 2
VASP calculation (GGA-PBE) on a relaxed P3OsN crystal.

Properties
The spin magnetization comes out at 0.0 μB/cell. The density of states at the Fermi level is 2.0 states/eV/cell.

Unit cell a=3.9195 b=3.9195 c=3.9195 alpha=90.00 beta=90.00 gamma=90.00
Closest atoms and distances in Å follow each position.
Fractional positions:
P 0.0000 0.5000 0.0000  2 N 1.96
P 0.0000 0.0000 0.5000  2 N 1.96
P 0.5000 0.0000 0.0000  2 N 1.96
Os 0.5000 0.5000 0.5000  12 P 2.77
N 0.0000 0.0000 0.0000  6 P 1.96

---

The least stable of them is version 1.